(1)
# Sm2NpScP4, relaxed, DFT GGA-PBE
data_Sm2NpScP4
_chemical_formula_sum 'Sm2 Np1 Sc1 P4'
_cell_length_a 6.868
_cell_length_b 3.981
_cell_length_c 6.902
_cell_angle_alpha 90.00
_cell_angle_beta 109.28
_cell_angle_gamma 90.00
_space_group_name_H-M_alt 'P 1 2/m 1'
_space_group_IT_number 10
loop_
_space_group_symop_operation_xyz
'x,y,z'
'-x,-y,-z'
'-x,y,-z'
'x,-y,z'
loop_
_atom_site_label
_atom_site_type_symbol
_atom_site_fract_x
_atom_site_fract_y
_atom_site_fract_z
Sm1 Sm 0.000 0.000 0.000
Sm2 Sm 0.500 0.500 0.000
Np1 Np 0.000 0.500 0.500
Sc1 Sc 0.500 0.000 0.500
P1 P 0.248 0.000 0.733
P2 P 0.259 0.500 0.270
# total energy = -7.645 eV/atom
# E_form = -1.351 eV per atom

---

(2)
# Re3Pb5, relaxed, DFT GGA-PBE
data_Re3Pb5
_chemical_formula_sum 'Re6 Pb10'
_cell_length_a 8.2031
_cell_length_b 8.2031
_cell_length_c 6.1242
_cell_angle_alpha 90.00
_cell_angle_beta 90.00
_cell_angle_gamma 120.00
_space_group_name_H-M_alt 'P 63/m c m'
_space_group_IT_number 193
_space_group_name_Hall '-P 6c 2'
loop_
_atom_site_label
_atom_site_type_symbol
_atom_site_fract_x
_atom_site_fract_y
_atom_site_fract_z
Re1 Re 0.0000 0.3998 0.2500
Pb1 Pb 0.0000 0.2473 0.7500
Pb2 Pb 0.3333 0.6667 0.0000
# energy above the most stable polymorph in this dataset = 58 meV/atom
# total energy = -5.831 eV/atom
# E_form = 1.155 eV per atom

---

(3)
# HfSbSCl2, relaxed, DFT GGA-PBE
data_HfSbSCl2
_chemical_formula_sum 'Hf1 Sb1 S1 Cl2'
_cell_length_a 5.250
_cell_length_b 5.250
_cell_length_c 5.260
_cell_angle_alpha 90.00
_cell_angle_beta 90.00
_cell_angle_gamma 90.00
_space_group_name_H-M_alt 'P 4/m m m'
_space_group_IT_number 123
_space_group_name_Hall '-P 4 2'
loop_
_atom_site_label
_atom_site_type_symbol
_atom_site_fract_x
_atom_site_fract_y
_atom_site_fract_z
Hf1 Hf 0.000 0.000 0.000
Sb1 Sb 0.500 0.500 0.500
S1 S 0.500 0.500 0.000
Cl1 Cl 0.000 0.500 0.500
# E_form (uncorrected) = 0.5054 eV per atom
# energy above the most stable polymorph in this dataset = 1064 meV/atom
# total energy = -3.874 eV/atom

---

(4)
# Dy5Er5Sc2, relaxed, DFT GGA-PBE
data_Dy5Er5Sc2
_chemical_formula_sum 'Dy10 Er10 Sc4'
_cell_length_a 11.550
_cell_length_b 5.502
_cell_length_c 12.035
_cell_angle_alpha 90.00
_cell_angle_beta 109.55
_cell_angle_gamma 90.00
_space_group_name_H-M_alt 'C 1 2/m 1'
_space_group_IT_number 12
loop_
_space_group_symop_operation_xyz
'x,y,z'
'-x,-y,-z'
'-x,y,-z'
'x,-y,z'
'x+1/2,y+1/2,z'
'-x+1/2,-y+1/2,-z'
'-x+1/2,y+1/2,-z'
'x+1/2,-y+1/2,z'
loop_
_atom_site_label
_atom_site_type_symbol
_atom_site_fract_x
_atom_site_fract_y
_atom_site_fract_z
Dy1 Dy 0.000 0.000 0.000
Dy2 Dy 0.177 0.000 0.467
Dy3 Dy 0.235 0.500 0.772
Er1 Er 0.000 0.500 0.500
Er2 Er 0.075 0.500 0.247
Er3 Er 0.191 0.500 0.031
Sc1 Sc 0.087 0.000 0.711
# energy above the most stable polymorph in this dataset = 78 meV/atom
# total energy = -4.761 eV/atom
# E_form = 0.113 eV per atom

---

(5)
# Tb8CeEr4, relaxed, DFT GGA-PBE
data_Tb8CeEr4
_chemical_formula_sum 'Tb24 Ce3 Er12'
_cell_length_a 7.2647
_cell_length_b 7.2647
_cell_length_c 26.7797
_cell_angle_alpha 90.00
_cell_angle_beta 90.00
_cell_angle_gamma 120.00
_space_group_name_H-M_alt 'R -3 m'
_space_group_IT_number 166
_space_group_name_Hall '-R 3 2"'
loop_
_atom_site_label
_atom_site_type_symbol
_atom_site_fract_x
_atom_site_fract_y
_atom_site_fract_z
Tb1 Tb 0.0000 0.0000 0.2207
Tb2 Tb 0.0298 0.5149 0.7699
Ce1 Ce 0.0000 0.0000 0.5000
Er1 Er 0.0000 0.0000 0.0000
Er2 Er 0.0000 0.5000 0.0000
# total energy = -4.548 eV/atom
# E_form = 0.162 eV per atom

---

(6)
# BeNiSe, relaxed, DFT GGA-PBE
data_BeNiSe
_chemical_formula_sum 'Be2 Ni2 Se2'
_cell_length_a 3.7102
_cell_length_b 3.7102
_cell_length_c 8.9166
_cell_angle_alpha 90.00
_cell_angle_beta 90.00
_cell_angle_gamma 120.00
_space_group_name_H-M_alt 'P 63/m m c'
_space_group_IT_number 194
_space_group_name_Hall '-P 6c 2c'
loop_
_atom_site_label
_atom_site_type_symbol
_atom_site_fract_x
_atom_site_fract_y
_atom_site_fract_z
Be1 Be 0.3333 0.6667 0.2500
Ni1 Ni 0.0000 0.0000 0.0000
Se1 Se 0.0000 0.0000 0.2500
# E_form (uncorrected) = 0.2114 eV per atom
# total energy = -4.119 eV/atom

---

(7)
# BaLa2SiN4, relaxed, DFT GGA-PBE
data_BaLa2SiN4
_chemical_formula_sum 'Ba4 La8 Si4 N16'
_cell_length_a 3.567
_cell_length_b 12.777
_cell_length_c 12.273
_cell_angle_alpha 90.00
_cell_angle_beta 90.00
_cell_angle_gamma 90.00
_space_group_name_H-M_alt 'C m c m'
_space_group_IT_number 63
_space_group_name_Hall '-C 2c 2'
loop_
_atom_site_label
_atom_site_type_symbol
_atom_site_fract_x
_atom_site_fract_y
_atom_site_fract_z
Ba1 Ba 0.000 0.092 0.250
La1 La 0.000 0.368 0.042
Si1 Si 0.000 0.191 0.750
N1 N 0.000 0.000 0.000
N2 N 0.000 0.261 0.630
N3 N 0.000 0.386 0.250
# E_form (uncorrected) = -1.0969 eV per atom
# total energy = -7.410 eV/atom

---

(8)
# MoP3, relaxed, DFT GGA-PBE
data_MoP3
_chemical_formula_sum 'Mo4 P12'
_cell_length_a 6.058
_cell_length_b 6.058
_cell_length_c 6.058
_cell_angle_alpha 90.00
_cell_angle_beta 90.00
_cell_angle_gamma 90.00
_space_group_name_H-M_alt 'F m -3 m'
_space_group_IT_number 225
_space_group_name_Hall '-F 4 2 3'
loop_
_atom_site_label
_atom_site_type_symbol
_atom_site_fract_x
_atom_site_fract_y
_atom_site_fract_z
Mo1 Mo 0.000 0.000 0.000
P1 P 0.000 0.000 0.500
P2 P 0.250 0.250 0.250
# energy above the most stable polymorph in this dataset = 605 meV/atom
# total energy = -6.405 eV/atom
# E_form = 0.361 eV per atom

---

(9)
# Cs3TlI4, relaxed, DFT GGA-PBE
data_Cs3TlI4
_chemical_formula_sum 'Cs6 Tl2 I8'
_cell_length_a 9.383
_cell_length_b 10.847
_cell_length_c 9.373
_cell_angle_alpha 90.00
_cell_angle_beta 109.59
_cell_angle_gamma 90.00
_space_group_name_H-M_alt 'P 1 2/c 1'
_space_group_IT_number 13
loop_
_space_group_symop_operation_xyz
'x,y,z'
'-x,-y,-z'
'-x,y,-z+1/2'
'x,-y,z+1/2'
loop_
_atom_site_label
_atom_site_type_symbol
_atom_site_fract_x
_atom_site_fract_y
_atom_site_fract_z
Cs1 Cs 0.000 0.124 0.250
Cs2 Cs 0.000 0.371 0.750
Cs3 Cs 0.500 0.372 0.250
Tl1 Tl 0.500 0.120 0.750
I1 I 0.257 0.365 0.511
I2 I 0.271 0.113 0.999
# E_form (uncorrected) = -1.3207 eV per atom
# energy above the most stable polymorph in this dataset = 0 meV/atom
# total energy = -2.712 eV/atom

---

(10)
# TcBi3Pb, relaxed, DFT GGA-PBE
data_TcBi3Pb
_chemical_formula_sum 'Tc1 Bi3 Pb1'
_cell_length_a 5.368
_cell_length_b 5.368
_cell_length_c 5.368
_cell_angle_alpha 90.00
_cell_angle_beta 90.00
_cell_angle_gamma 90.00
_space_group_name_H-M_alt 'P m -3 m'
_space_group_IT_number 221
_space_group_name_Hall '-P 4 2 3'
loop_
_atom_site_label
_atom_site_type_symbol
_atom_site_fract_x
_atom_site_fract_y
_atom_site_fract_z
Tc1 Tc 0.000 0.000 0.000
Bi1 Bi 0.000 0.000 0.500
Pb1 Pb 0.500 0.500 0.500
# energy above the most stable polymorph in this dataset = 0 meV/atom
# total energy = -4.652 eV/atom
# E_form = 0.491 eV per atom

---

(11)
# Sr, relaxed, DFT GGA-PBE
data_Sr
_chemical_formula_sum 'Sr2'
_cell_length_a 4.739
_cell_length_b 4.739
_cell_length_c 4.729
_cell_angle_alpha 90.00
_cell_angle_beta 90.00
_cell_angle_gamma 90.00
_space_group_name_H-M_alt 'I 4/m m m'
_space_group_IT_number 139
_space_group_name_Hall '-I 4 2'
loop_
_atom_site_label
_atom_site_type_symbol
_atom_site_fract_x
_atom_site_fract_y
_atom_site_fract_z
Sr1 Sr 0.000 0.000 0.000
# energy above the most stable polymorph in this dataset = 4 meV/atom
# total energy = -1.678 eV/atom
# E_form = 0.004 eV per atom

---

(12)
# YTc2Pb, relaxed, DFT GGA-PBE
data_YTc2Pb
_chemical_formula_sum 'Y3 Tc6 Pb3'
_cell_length_a 3.2918
_cell_length_b 3.2918
_cell_length_c 26.0618
_cell_angle_alpha 90.00
_cell_angle_beta 90.00
_cell_angle_gamma 120.00
_space_group_name_H-M_alt 'R -3 m'
_space_group_IT_number 166
_space_group_name_Hall '-R 3 2"'
loop_
_atom_site_label
_atom_site_type_symbol
_atom_site_fract_x
_atom_site_fract_y
_atom_site_fract_z
Y1 Y 0.0000 0.0000 0.0000
Tc1 Tc 0.0000 0.0000 0.2471
Pb1 Pb 0.0000 0.0000 0.5000
# total energy = -7.076 eV/atom
# E_form = 0.650 eV per atom